1.
{
  "formula": "CeErMg2In2",
  "functional": "PBE-GGA",
  "state": "optimized geometry",
  "formation_enthalpy_0k_ev_per_atom": -0.31,
  "spacegroup": "No. 164",
  "cell": [[4.995, 0.000, 0.000], [-2.498, 4.326, 0.000], [0.000, 0.000, 7.134]],
  "species": ["Ce", "Er", "Mg", "Mg", "In", "In"],
  "frac_coords": [[0.000, 0.000, 0.000], [0.000, 0.000, 0.500], [0.333, 0.667, 0.740], [0.667, 0.333, 0.260], [0.333, 0.667, 0.249], [0.667, 0.333, 0.751]]
}

---

2.
{
  "formula": "ZrScSb4",
  "functional": "PBE-GGA",
  "state": "optimized geometry",
  "spacegroup": "No. 216",
  "raw_formation_energy_mev_per_atom": 271,
  "cell": [[0.000, 4.321, 4.321], [4.321, 0.000, 4.321], [4.321, 4.321, 0.000]],
  "species": ["Zr", "Sc", "Sb", "Sb", "Sb", "Sb"],
  "frac_coords": [[0.000, 0.000, 0.000], [0.250, 0.250, 0.250], [0.124, 0.625, 0.625], [0.625, 0.124, 0.625], [0.625, 0.625, 0.124], [0.625, 0.625, 0.625]]
}

---

3.
{
  "formula": "SrZnCu2I",
  "functional": "PBE-GGA",
  "state": "optimized geometry",
  "spacegroup": "No. 123",
  "raw_formation_energy_mev_per_atom": 563,
  "cell": [[5.041, 0.000, 0.000], [0.000, 5.041, 0.000], [0.000, 0.000, 6.267]],
  "species": ["Sr", "Zn", "Cu", "Cu", "I"],
  "frac_coords": [[0.000, 0.000, 0.000], [0.500, 0.500, 0.000], [0.000, 0.500, 0.500], [0.500, 0.000, 0.500], [0.500, 0.500, 0.500]]
}

---

4.
{
  "formula": "LiCa2Al3Ge4",
  "functional": "PBE-GGA",
  "state": "optimized geometry",
  "formation_enthalpy_0k_ev_per_atom": -0.34,
  "spacegroup": "No. 115",
  "cell": [[4.504, 0.000, 0.000], [0.000, 4.504, 0.000], [0.000, 0.000, 10.247]],
  "species": ["Li", "Ca", "Ca", "Al", "Al", "Al", "Ge", "Ge", "Ge", "Ge"],
  "frac_coords": [[0.000, 0.000, 0.000], [0.000, 0.500, 0.746], [0.500, 0.000, 0.254], [0.000, 0.500, 0.373], [0.500, 0.000, 0.627], [0.500, 0.500, 0.000], [0.000, 0.000, 0.500], [0.000, 0.500, 0.133], [0.500, 0.000, 0.867], [0.500, 0.500, 0.500]]
}

---

5.
{
  "formula": "NpTeCl",
  "functional": "PBE-GGA",
  "state": "optimized geometry",
  "spacegroup": "No. 107",
  "raw_formation_energy_mev_per_atom": -929,
  "cell": [[-1.820, 1.820, 6.749], [1.820, -1.820, 6.749], [1.820, 1.820, -6.749]],
  "species": ["Np", "Te", "Cl"],
  "frac_coords": [[0.000, 0.000, 0.000], [0.366, 0.366, 0.000], [0.619, 0.619, 0.000]]
}

---

6.
{
  "formula": "KSnBr5",
  "functional": "PBE-GGA",
  "state": "optimized geometry",
  "polymorph_energy_mev_per_atom": 18.1,
  "spacegroup": "No. 15",
  "raw_formation_energy_mev_per_atom": -905,
  "cell": [[7.019, -6.467, 0.000], [7.019, 6.467, 0.000], [-6.597, 0.000, 7.049]],
  "species": ["K", "K", "Sn", "Sn", "Br", "Br", "Br", "Br", "Br", "Br", "Br", "Br", "Br", "Br"],
  "frac_coords": [[0.000, 0.500, 0.000], [0.500, 0.000, 0.500], [0.136, 0.864, 0.750], [0.864, 0.136, 0.250], [0.176, 0.233, 0.453], [0.233, 0.176, 0.953], [0.249, 0.751, 0.535], [0.249, 0.751, 0.965], [0.392, 0.608, 0.250], [0.608, 0.392, 0.750], [0.751, 0.249, 0.035], [0.751, 0.249, 0.465], [0.767, 0.824, 0.047], [0.824, 0.767, 0.547]]
}

---

7.
{
  "formula": "Sr2Mg4ZnAg3",
  "functional": "PBE-GGA",
  "state": "optimized geometry",
  "formation_enthalpy_0k_ev_per_atom": -0.19,
  "spacegroup": "No. 115",
  "cell": [[4.867, 0.000, 0.000], [0.000, 4.867, 0.000], [0.000, 0.000, 10.740]],
  "species": ["Sr", "Sr", "Mg", "Mg", "Mg", "Mg", "Zn", "Ag", "Ag", "Ag"],
  "frac_coords": [[0.000, 0.500, 0.237], [0.500, 0.000, 0.763], [0.000, 0.000, 0.500], [0.000, 0.500, 0.883], [0.500, 0.000, 0.117], [0.500, 0.500, 0.500], [0.500, 0.500, 0.000], [0.000, 0.000, 0.000], [0.000, 0.500, 0.631], [0.500, 0.000, 0.369]]
}

---

8.
{
  "formula": "HoCoGe3",
  "functional": "PBE-GGA",
  "state": "optimized geometry",
  "formation_enthalpy_0k_ev_per_atom": -0.48,
  "spacegroup": "No. 62",
  "cell": [[8.400, 0.000, 0.000], [0.000, 4.024, 0.000], [0.000, 0.000, 10.321]],
  "species": ["Ho", "Ho", "Ho", "Ho", "Co", "Co", "Co", "Co", "Ge", "Ge", "Ge", "Ge", "Ge", "Ge", "Ge", "Ge", "Ge", "Ge", "Ge", "Ge"],
  "frac_coords": [[0.198, 0.250, 0.038], [0.302, 0.750, 0.538], [0.698, 0.250, 0.462], [0.802, 0.750, 0.962], [0.082, 0.250, 0.345], [0.418, 0.750, 0.845], [0.582, 0.250, 0.155], [0.918, 0.750, 0.655], [0.053, 0.250, 0.582], [0.114, 0.750, 0.830], [0.185, 0.750, 0.248], [0.315, 0.250, 0.748], [0.386, 0.250, 0.330], [0.447, 0.750, 0.082], [0.553, 0.250, 0.918], [0.614, 0.750, 0.670], [0.685, 0.750, 0.252], [0.815, 0.250, 0.752], [0.886, 0.250, 0.170], [0.947, 0.750, 0.418]]
}